This record from Alexandria describes an optimized crystal structure of Mg3Cu. The functional is PBEsol.

Lattice parameters (Å, degrees): 7.860 7.860 8.357 90.00 90.00 120.00
Positions (direct):
Cu 0.673 0.000 0.429
Mg 0.000 0.724 0.757
Mg 0.667 0.333 0.878
Cu 0.327 0.327 0.429
Mg 0.724 0.000 0.757
Mg 0.276 0.276 0.757
Mg 0.667 0.333 0.378
Mg 0.276 0.000 0.257
Mg 0.000 0.380 0.602
Cu 0.327 0.000 0.929
Mg 0.000 0.276 0.257
Mg 0.724 0.724 0.257
Mg 0.380 0.380 0.102
Mg 0.620 0.000 0.102
Cu 0.000 0.327 0.929
Mg 0.000 0.000 0.501
Mg 0.380 0.000 0.602
Mg 0.000 0.000 0.001
Mg 0.000 0.620 0.102
Cu 0.000 0.673 0.429
Mg 0.333 0.667 0.378
Mg 0.333 0.667 0.878
Cu 0.673 0.673 0.929
Mg 0.620 0.620 0.602

Space-group type: P6_3cm, No. 185
Calculated volume: 18.63 A^3/atom
ΔH_f (0 K): -0.0433 eV per atom
ρ: 3.0 g cm⁻³